The following is a DFT calculation (GGA-PBE) of a relaxed structure of AlFe5.

## Properties
Mass density, g cm⁻³: 7.0
M_tot, μB/f.u.: 11.14
Calculated volume, Å³/f.u.: 72.4
ΔE_f, eV per atom: -0.015
DFT total energy, eV/atom: -7.6914
Crystal system: hexagonal

```
AlFe5
1.0
4.114 0.000 0.000
-2.057 3.563 0.000
0.000 0.000 4.940
Al Fe
1 5
Cartesian
0.000 0.000 0.000
0.000 0.000 2.470
0.000 2.375 1.286
0.000 2.375 3.654
2.057 1.188 1.286
2.057 1.188 3.654
```

The following is a DFT calculation (GGA-PBE) of a relaxed structure of Al13Fe4.

## Properties
Mass density, g cm⁻³: 3.9
M_tot, μB/f.u.: 0.00
Calculated volume, Å³/f.u.: 244.1
ΔE_f, eV per atom: -0.331
DFT total energy, eV/atom: -5.1838
Crystal system: monoclinic

```
Al13Fe4
1.0
7.712 -4.011 0.000
7.712 4.011 0.000
-3.774 0.000 11.840
Al Fe
39 12
Cartesian
0.000 0.000 0.000
-2.202 0.000 7.934
3.375 2.313 7.220
1.910 2.258 11.581
3.382 1.745 4.609
4.337 1.758 1.959
1.900 0.000 2.589
0.265 0.000 8.613
4.459 2.141 9.827
7.192 2.141 2.013
5.825 2.008 5.920
1.963 0.000 6.380
0.416 0.000 11.421
8.275 2.313 4.620
9.741 2.258 0.259
3.680 0.000 8.427
3.106 0.000 10.889
5.473 0.000 3.869
7.314 1.758 9.882
8.269 1.745 7.231
3.382 -1.745 4.609
4.337 -1.758 1.959
6.177 0.000 7.971
8.545 0.000 0.951
7.970 0.000 3.414
1.910 -2.258 11.581
3.375 -2.313 7.220
11.235 0.000 0.420
9.687 0.000 5.461
5.825 -2.008 5.920
4.459 -2.141 9.827
7.192 -2.141 2.013
11.386 0.000 3.227
9.751 0.000 9.251
7.314 -1.758 9.882
8.269 -1.745 7.231
9.741 -2.258 0.259
8.275 -2.313 4.620
13.853 0.000 3.906
-0.432 0.000 6.096
-1.785 0.000 10.377
1.997 1.657 9.210
4.379 0.000 6.062
5.955 0.000 1.385
9.653 1.657 2.631
1.997 -1.657 9.210
5.696 0.000 10.455
7.272 0.000 5.778
9.653 -1.657 2.631
13.435 0.000 1.464
12.082 0.000 5.745
```

The following is a DFT calculation (GGA-PBE) of a relaxed structure of Al5Fe.

## Properties
Mass density, g cm⁻³: 3.6
M_tot, μB/f.u.: 0.00
Calculated volume, Å³/f.u.: 88.2
ΔE_f, eV per atom: -0.061
DFT total energy, eV/atom: -4.5905
Crystal system: orthorhombic

```
Al5Fe
1.0
4.322 0.000 0.000
0.000 1.463 6.972
0.000 -1.463 6.972
Al Fe
5 1
Cartesian
0.000 0.000 0.000
0.000 0.000 4.261
2.161 0.000 1.480
2.161 0.000 5.989
2.161 0.000 10.628
0.000 0.000 9.163
```

The following is a DFT calculation (GGA-PBE) of a relaxed structure of Al12Fe7.

## Properties
Mass density, g cm⁻³: 4.6
M_tot, μB/f.u.: 8.68
Calculated volume, Å³/f.u.: 256.2
ΔE_f, eV per atom: -0.318
DFT total energy, eV/atom: -5.7992
Crystal system: triclinic

```
Al12Fe7
1.0
4.800 0.000 0.000
0.722 6.312 0.000
2.345 0.117 8.455
Al Fe
12 7
Cartesian
0.652 1.882 1.500
1.941 0.898 5.990
2.060 4.191 0.271
3.644 5.193 4.105
3.010 2.957 2.544
2.751 0.095 1.426
5.116 6.335 7.029
4.857 3.472 5.910
4.223 1.236 4.350
5.807 2.238 8.184
5.926 5.532 2.465
7.215 4.547 6.955
0.000 0.000 0.000
1.772 1.023 3.529
2.518 3.090 4.943
3.388 2.291 7.498
4.478 4.138 0.957
5.349 3.339 3.512
6.095 5.406 4.926
```

The following is a DFT calculation (GGA-PBE) of a relaxed structure of AlFe.

## Properties
Mass density, g cm⁻³: 5.2
M_tot, μB/f.u.: 1.92
Calculated volume, Å³/f.u.: 26.5
ΔE_f, eV per atom: 0.003
DFT total energy, eV/atom: -6.0995
Crystal system: trigonal

```
AlFe
1.0
2.748 0.000 0.000
-1.374 2.380 0.000
0.000 0.000 8.095
Al Fe
2 2
Cartesian
0.000 1.587 1.170
1.374 0.793 6.925
0.000 1.587 4.966
1.374 0.793 3.128
```

The following is a DFT calculation (GGA-PBE) of a relaxed structure of AlFe2.

## Properties
Mass density, g cm⁻³: 6.2
M_tot, μB/f.u.: 4.32
Calculated volume, Å³/f.u.: 36.9
ΔE_f, eV per atom: -0.203
DFT total energy, eV/atom: -7.0924
Crystal system: monoclinic

```
AlFe2
1.0
11.464 -1.805 0.000
11.464 1.805 0.000
-0.564 0.000 3.565
Al Fe
4 8
Cartesian
0.858 0.000 1.051
4.451 0.000 1.625
17.913 0.000 1.941
21.506 0.000 2.515
2.375 0.000 3.120
6.665 0.000 0.149
8.247 0.000 2.230
10.390 0.000 0.743
11.974 0.000 2.823
14.117 0.000 1.336
15.700 0.000 3.417
19.990 0.000 0.445
```

The following is a DFT calculation (GGA-PBE) of a relaxed structure of AlFe.

## Properties
Mass density, g cm⁻³: 5.4
M_tot, μB/f.u.: 1.61
Calculated volume, Å³/f.u.: 25.5
ΔE_f, eV per atom: -0.156
DFT total energy, eV/atom: -6.2584
Crystal system: orthorhombic

```
AlFe
1.0
1.327 -4.618 0.000
1.327 4.618 0.000
0.000 0.000 4.167
Al Fe
2 2
Cartesian
1.327 3.797 3.125
1.327 -3.797 1.042
1.327 1.387 3.125
1.327 -1.387 1.042
```

The following is a DFT calculation (GGA-PBE) of a relaxed structure of AlFe5.

## Properties
Mass density, g cm⁻³: 7.2
M_tot, μB/f.u.: 11.14
Calculated volume, Å³/f.u.: 70.9
ΔE_f, eV per atom: -0.119
DFT total energy, eV/atom: -7.7946
Crystal system: orthorhombic

```
AlFe5
1.0
1.995 -5.983 0.000
1.995 5.983 0.000
0.000 0.000 2.972
Al Fe
1 5
Cartesian
0.000 0.000 0.000
1.995 3.939 1.486
1.995 1.963 0.000
1.995 0.000 1.486
1.995 -1.963 0.000
1.995 -3.939 1.486
```

The following is a DFT calculation (GGA-PBE) of a relaxed structure of AlFe2.

## Properties
Mass density, g cm⁻³: 6.3
M_tot, μB/f.u.: 4.16
Calculated volume, Å³/f.u.: 36.6
ΔE_f, eV per atom: -0.219
DFT total energy, eV/atom: -7.1087
Crystal system: orthorhombic

```
AlFe2
1.0
1.512 -5.983 0.000
1.512 5.983 0.000
0.000 0.000 4.044
Al Fe
2 4
Cartesian
1.512 4.884 3.033
1.512 -4.884 1.011
1.512 3.124 1.011
1.512 0.932 3.033
1.512 -0.932 1.011
1.512 -3.124 3.033
```

The following is a DFT calculation (GGA-PBE) of a relaxed structure of AlFe5.

## Properties
Mass density, g cm⁻³: 7.0
M_tot, μB/f.u.: 11.55
Calculated volume, Å³/f.u.: 72.2
ΔE_f, eV per atom: -0.016
DFT total energy, eV/atom: -7.6920
Crystal system: hexagonal

```
AlFe5
1.0
4.415 0.000 0.000
-2.207 3.823 0.000
0.000 0.000 4.278
Al Fe
1 5
Cartesian
0.000 0.000 0.000
-1.453 2.516 2.139
0.000 2.549 0.000
0.755 1.307 2.139
2.905 0.000 2.139
2.207 1.274 0.000
```

The following is a DFT calculation (GGA-PBE) of a relaxed structure of Al5Fe3.

## Properties
Mass density, g cm⁻³: 4.9
M_tot, μB/f.u.: 1.03
Calculated volume, Å³/f.u.: 102.0
ΔE_f, eV per atom: -0.245
DFT total energy, eV/atom: -5.7580
Crystal system: orthorhombic

```
Al5Fe3
1.0
3.367 -3.810 0.000
3.367 3.810 0.000
0.000 0.000 3.974
Al Fe
5 3
Cartesian
0.000 0.000 0.000
1.684 1.905 0.000
1.984 0.000 1.987
1.684 -1.905 0.000
4.751 0.000 1.987
3.367 2.192 1.987
3.367 0.000 0.000
3.367 -2.192 1.987
```

The following is a DFT calculation (GGA-PBE) of a relaxed structure of Al13Fe2.

## Properties
Mass density, g cm⁻³: 3.4
M_tot, μB/f.u.: 0.00
Calculated volume, Å³/f.u.: 225.0
ΔE_f, eV per atom: -0.105
DFT total energy, eV/atom: -4.4771
Crystal system: triclinic

```
Al13Fe2
1.0
4.795 0.000 0.000
0.902 6.215 0.000
2.311 2.192 7.551
Al Fe
13 2
Cartesian
0.000 0.000 0.000
2.216 4.135 5.384
1.683 1.638 1.805
3.944 5.801 7.045
2.922 1.479 4.868
3.329 3.371 3.052
3.368 5.272 1.080
4.641 3.134 6.471
4.679 5.035 4.499
5.087 6.927 2.683
4.064 2.606 0.506
6.325 6.769 5.746
5.792 4.271 2.167
2.546 5.919 3.435
5.463 2.487 4.116
```